{"formula": "CdPd5Au3", "functional": "PBE-GGA", "state": "optimized geometry", "lattice": [[5.5572, -0.4476, -0.4232], [1.0908, 5.4674, -0.4232], [1.8340, 1.3849, 11.0552]], "species": ["Pd", "Pd", "Pd", "Pd", "Pd", "Pd", "Pd", "Pd", "Pd", "Pd", "Cd", "Cd", "Au", "Au", "Au", "Au", "Au", "Au"], "frac_coords": [[0.5232, 0.5232, 0.7040], [0.9841, 0.4193, 0.3263], [0.3309, 0.6691, 0.0000], [0.7076, 0.7076, 0.1267], [0.0159, 0.5807, 0.6737], [0.6691, 0.3309, 0.0000], [0.4768, 0.4768, 0.2960], [0.2924, 0.2924, 0.8733], [0.5807, 0.0159, 0.6737], [0.4193, 0.9841, 0.3263], [0.9438, 0.9438, 0.2645], [0.0562, 0.0562, 0.7355], [0.0000, 0.0000, 0.0000], [0.0000, 0.0000, 0.5000], [0.2557, 0.2557, 0.1311], [0.7443, 0.7443, 0.8689], [0.3253, 0.3253, 0.5162], [0.6747, 0.6747, 0.4838]], "ef_ev_per_atom": 0.204, "total_energy_ev_per_atom": -3.875, "m_tot_mub_per_atom": 0.000, "density_g_cm3": 11.8, "crystal_system": "monoclinic"}

***

{"formula": "LiZn2Cd2", "functional": "PBE-GGA", "state": "optimized geometry", "lattice": [[-2.4155, 2.4038, 2.8003], [0.5856, -3.8179, 3.7824], [4.2013, 2.7378, -2.1998]], "species": ["Cd", "Cd", "Zn", "Zn", "Li"], "frac_coords": [[0.6416, 0.4903, 0.2833], [0.3584, 0.5097, 0.7167], [0.7090, 0.0678, 0.4179], [0.2910, 0.9322, 0.5821], [0.0000, 0.0000, 0.0000]], "ef_ev_per_atom": -0.084, "total_energy_ev_per_atom": -1.342, "m_tot_mub_per_atom": 0.000, "density_g_cm3": 6.3, "crystal_system": "monoclinic"}

***

{"formula": "Pu2InRu3", "functional": "PBE-GGA", "state": "optimized geometry", "lattice": [[3.4756, 0.0000, 0.0000], [0.0000, 4.5400, 0.0000], [0.0000, 0.0000, 14.0369]], "species": ["In", "In", "Pu", "Pu", "Pu", "Pu", "Ru", "Ru", "Ru", "Ru", "Ru", "Ru"], "frac_coords": [[0.0020, 0.5000, 0.5000], [0.9980, 0.0000, 0.0000], [0.9985, 0.5000, 0.1614], [0.9985, 0.5000, 0.8386], [0.0015, 0.0000, 0.6614], [0.0015, 0.0000, 0.3386], [0.5021, 0.0000, 0.5000], [0.4985, 0.0000, 0.1678], [0.4979, 0.5000, 0.0000], [0.5015, 0.5000, 0.6678], [0.4985, 0.0000, 0.8322], [0.5015, 0.5000, 0.3322]], "ef_ev_per_atom": -0.132, "total_energy_ev_per_atom": -10.003, "m_tot_mub_per_atom": 1.337, "density_g_cm3": 13.6, "crystal_system": "orthorhombic"}

***

What did the second record say?
{"formula": "LiZn2Cd2", "functional": "PBE-GGA", "state": "optimized geometry", "lattice": [[-2.4155, 2.4038, 2.8003], [0.5856, -3.8179, 3.7824], [4.2013, 2.7378, -2.1998]], "species": ["Cd", "Cd", "Zn", "Zn", "Li"], "frac_coords": [[0.6416, 0.4903, 0.2833], [0.3584, 0.5097, 0.7167], [0.7090, 0.0678, 0.4179], [0.2910, 0.9322, 0.5821], [0.0000, 0.0000, 0.0000]], "ef_ev_per_atom": -0.084, "total_energy_ev_per_atom": -1.342, "m_tot_mub_per_atom": 0.000, "density_g_cm3": 6.3, "crystal_system": "monoclinic"}

***

Question: What is the formula in the third record?
Answer: Pu2InRu3